VCdCl2O: relaxed, GGA+U.

Lattice parameters (Å, degrees): 5.7232 5.7232 3.5602 90.00 90.00 90.00
Atoms (fractional coordinates):
V 0.0000 0.0000 0.0000
Cd 0.5000 0.5000 0.0000
Cl 0.0000 0.5000 0.5000
Cl 0.5000 0.0000 0.5000
O 0.0000 0.0000 0.5000

Calculated values
The value obtained for the total moment is 1.88 μB/f.u. The polymorph energy (0 for the lowest one) comes out at 0.000 eV per atom. The calculation puts the density of states at the Fermi level at 6.2 states/eV/f.u.